Record 1
This record from Alexandria describes an optimized crystal structure of Na3Te5O12. The functional is PBE.

Output
formation energy without anion corrections: -1.036 eV per atom
energy: -4.994 eV per atom

Cell: 13.824 13.824 13.824 Å, 90.00 90.00 90.00°
Space group Ia-3d (No. 230)
Inequivalent atoms, fractional coordinates:
1 Na 0.000 0.250 0.125
2 Te 0.000 0.000 0.000
3 Te 0.000 0.250 0.375
4 O 0.029 0.042 0.647

Record 2
This record from Alexandria describes an optimized crystal structure of Na4TeO5. The functional is PBE.

Output
formation energy without anion corrections: -1.262 eV per atom
energy: -4.583 eV per atom
ΔE to the lowest computed polymorph: 270 meV per atom

Cell: 5.829 7.394 8.586 Å, 101.44 98.98 110.25°
Space group P-1 (No. 2)
Inequivalent atoms, fractional coordinates:
1 Na 0.000 0.000 0.000
2 Na 0.179 0.200 0.699
3 Na 0.183 0.414 0.413
4 Na 0.274 0.517 0.077
5 Na 0.500 0.000 0.500
6 Te 0.426 0.758 0.815
7 O 0.111 0.656 0.870
8 O 0.113 0.881 0.550
9 O 0.231 0.729 0.552
10 O 0.366 0.236 0.976
11 O 0.455 0.520 0.700

Record 3
This record from Alexandria describes an optimized crystal structure of Na2TeO5. The functional is PBE.

Output
formation energy without anion corrections: -0.559 eV per atom
energy: -4.380 eV per atom
ΔE to the lowest computed polymorph: 327 meV per atom

Cell: 6.706 13.826 5.792 Å, 90.00 90.00 90.00°
Space group Cmcm (No. 63)
Inequivalent atoms, fractional coordinates:
1 Na 0.000 0.000 0.000
2 Na 0.000 0.340 0.250
3 Te 0.000 0.208 0.750
4 O 0.000 0.147 0.250
5 O 0.195 0.139 0.555

Record 4
This record from Alexandria describes an optimized crystal structure of NaTe2O. The functional is PBE.

Output
formation energy without anion corrections: -0.382 eV per atom
energy: -3.522 eV per atom

Cell: 6.162 6.162 13.283 Å, 90.00 90.00 90.00°
Space group I4_1/amd (No. 141, origin choice 2)
Inequivalent atoms, fractional coordinates:
1 Na 0.000 0.250 0.375
2 Te 0.000 0.000 0.000
3 O 0.000 0.250 0.875

Record 5
This record from Alexandria describes an optimized crystal structure of NaTeO2. The functional is PBE.

Output
formation energy without anion corrections: -0.857 eV per atom
energy: -4.451 eV per atom

Cell: 4.933 4.933 11.925 Å, 90.00 90.00 90.00°
Space group I-42d (No. 122)
Inequivalent atoms, fractional coordinates:
1 Na 0.000 0.000 0.000
2 Te 0.000 0.000 0.500
3 O 0.204 0.250 0.625

Record 6
This record from Alexandria describes an optimized crystal structure of Na5TeO6. The functional is PBE.

Output
formation energy without anion corrections: -1.436 eV per atom
energy: -4.726 eV per atom

Cell: 5.865 9.986 5.765 Å, 90.00 111.44 90.00°
Space group C2/m (No. 12)
Inequivalent atoms, fractional coordinates:
1 Na 0.000 0.000 0.000
2 Na 0.000 0.167 0.500
3 Na 0.000 0.329 0.000
4 Te 0.000 0.500 0.500
5 O 0.204 0.500 0.297
6 O 0.210 0.361 0.718

Record 7
This record from Alexandria describes an optimized crystal structure of NaTeO3. The functional is PBE.

Output
formation energy without anion corrections: 0.419 eV per atom
energy: -3.448 eV per atom

Cell: 3.930 3.930 3.930 Å, 90.00 90.00 90.00°
Space group Pm-3m (No. 221)
Inequivalent atoms, fractional coordinates:
1 Na 0.000 0.000 0.000
2 Te 0.500 0.500 0.500
3 O 0.000 0.000 0.500

Record 8
This record from Alexandria describes an optimized crystal structure of NaTe3O. The functional is PBE.

Output
formation energy without anion corrections: -0.189 eV per atom
energy: -3.330 eV per atom
ΔE to the lowest computed polymorph: 0 meV per atom

Cell: 4.906 4.906 4.906 Å, 90.00 90.00 90.00°
Space group Pm-3m (No. 221)
Inequivalent atoms, fractional coordinates:
1 Na 0.000 0.000 0.000
2 Te 0.000 0.500 0.500
3 O 0.500 0.500 0.500

Q: Which formula does entry 5 have?
A: NaTeO2

Q: Look up the energy of the sixth one.
A: -4.726 eV per atom

Q: energy of number 6 (Na5TeO6)?
A: -4.726 eV per atom

Repeat the first record exactly.
This record from Alexandria describes an optimized crystal structure of Na3Te5O12. The functional is PBE.

Output
formation energy without anion corrections: -1.036 eV per atom
energy: -4.994 eV per atom

Cell: 13.824 13.824 13.824 Å, 90.00 90.00 90.00°
Space group Ia-3d (No. 230)
Inequivalent atoms, fractional coordinates:
1 Na 0.000 0.250 0.125
2 Te 0.000 0.000 0.000
3 Te 0.000 0.250 0.375
4 O 0.029 0.042 0.647